(1)
# BaCa3Ac2Te6 (PBE, relaxed)
# E_form (uncorrected) = -1590 meV/atom
data_BaCa3Ac2Te6
_symmetry_space_group_name_H-M 'C 1 2/m 1'
_symmetry_Int_Tables_number 12
_cell_length_a 20.363
_cell_length_b 4.640
_cell_length_c 9.386
_cell_angle_alpha 90.00
_cell_angle_beta 103.53
_cell_angle_gamma 90.00
loop_
_symmetry_equiv_pos_as_xyz
'x,y,z'
'-x,-y,-z'
'-x,y,-z'
'x,-y,z'
'x+1/2,y+1/2,z'
'-x+1/2,-y+1/2,-z'
'-x+1/2,y+1/2,-z'
'x+1/2,-y+1/2,z'
loop_
_atom_site_label
_atom_site_fract_x
_atom_site_fract_y
_atom_site_fract_z
_atom_site_occupancy
Ba1 0.000 0.000 0.000 1
Ca1 0.000 0.000 0.500 1
Ca2 0.165 0.500 0.834 1
Ac1 0.168 0.500 0.337 1
Te1 0.002 0.500 0.731 1
Te2 0.163 0.000 0.594 1
Te3 0.174 0.000 0.079 1



(2)
# BaCaAcTl (PBE, relaxed)
# E_form = -38 kJ/mol of formula units
data_BaCaAcTl
_symmetry_space_group_name_H-M 'F -4 3 m'
_symmetry_Int_Tables_number 216
_symmetry_space_group_name_Hall 'F -4 2 3'
_cell_length_a 8.634
_cell_length_b 8.634
_cell_length_c 8.634
_cell_angle_alpha 90.00
_cell_angle_beta 90.00
_cell_angle_gamma 90.00
loop_
_atom_site_label
_atom_site_fract_x
_atom_site_fract_y
_atom_site_fract_z
_atom_site_occupancy
Ba1 0.000 0.000 0.000 1
Ca1 0.250 0.250 0.750 1
Ac1 0.000 0.000 0.500 1
Tl1 0.250 0.250 0.250 1



(3)
# BaCa2AcTl4 (PBE, relaxed)
# E_form = -319 kJ/mol of formula units
data_BaCa2AcTl4
_symmetry_space_group_name_H-M 'R -3 m'
_symmetry_Int_Tables_number 166
_symmetry_space_group_name_Hall '-R 3 2"'
_cell_length_a 5.7556
_cell_length_b 5.7556
_cell_length_c 28.1866
_cell_angle_alpha 90.00
_cell_angle_beta 90.00
_cell_angle_gamma 120.00
loop_
_atom_site_label
_atom_site_fract_x
_atom_site_fract_y
_atom_site_fract_z
_atom_site_occupancy
Ba1 0.0000 0.0000 0.0000 1
Ca1 0.0000 0.0000 0.2502 1
Ac1 0.0000 0.0000 0.5000 1
Tl1 0.0000 0.0000 0.1265 1
Tl2 0.0000 0.0000 0.3770 1



(4)
# BaCaAcTm (PBE, relaxed)
# E_form = 74 kJ/mol of formula units
data_BaCaAcTm
_symmetry_space_group_name_H-M 'F -4 3 m'
_symmetry_Int_Tables_number 216
_symmetry_space_group_name_Hall 'F -4 2 3'
_cell_length_a 8.790
_cell_length_b 8.790
_cell_length_c 8.790
_cell_angle_alpha 90.00
_cell_angle_beta 90.00
_cell_angle_gamma 90.00
loop_
_atom_site_label
_atom_site_fract_x
_atom_site_fract_y
_atom_site_fract_z
_atom_site_occupancy
Ba1 0.000 0.000 0.000 1
Ca1 0.250 0.250 0.750 1
Ac1 0.250 0.250 0.250 1
Tm1 0.000 0.000 0.500 1



(5)
# BaAc2Cd3 (PBE, relaxed)
# E_form = -178 kJ/mol of formula units
data_BaAc2Cd3
_symmetry_space_group_name_H-M 'P 4/m m m'
_symmetry_Int_Tables_number 123
_symmetry_space_group_name_Hall '-P 4 2'
_cell_length_a 4.117
_cell_length_b 4.117
_cell_length_c 12.525
_cell_angle_alpha 90.00
_cell_angle_beta 90.00
_cell_angle_gamma 90.00
loop_
_atom_site_label
_atom_site_fract_x
_atom_site_fract_y
_atom_site_fract_z
_atom_site_occupancy
Ba1 0.000 0.000 0.000 1
Ac1 0.000 0.000 0.339 1
Cd1 0.500 0.500 0.182 1
Cd2 0.500 0.500 0.500 1



(6)
# Ba3AcCd4 (PBE, relaxed)
# E_form = -246 kJ/mol of formula units
data_Ba3AcCd4
_symmetry_space_group_name_H-M 'P 4/m m m'
_symmetry_Int_Tables_number 123
_symmetry_space_group_name_Hall '-P 4 2'
_cell_length_a 4.189
_cell_length_b 4.189
_cell_length_c 17.018
_cell_angle_alpha 90.00
_cell_angle_beta 90.00
_cell_angle_gamma 90.00
loop_
_atom_site_label
_atom_site_fract_x
_atom_site_fract_y
_atom_site_fract_z
_atom_site_occupancy
Ba1 0.000 0.000 0.000 1
Ba2 0.000 0.000 0.256 1
Ac1 0.000 0.000 0.500 1
Cd1 0.500 0.500 0.127 1
Cd2 0.500 0.500 0.387 1



(7)
# Ba2AcCd2 (PBE, relaxed)
# E_form = -112 kJ/mol of formula units
data_Ba2AcCd2
_symmetry_space_group_name_H-M 'C m m m'
_symmetry_Int_Tables_number 65
_symmetry_space_group_name_Hall '-C 2 2'
_cell_length_a 4.197
_cell_length_b 24.357
_cell_length_c 4.122
_cell_angle_alpha 90.00
_cell_angle_beta 90.00
_cell_angle_gamma 90.00
loop_
_atom_site_label
_atom_site_fract_x
_atom_site_fract_y
_atom_site_fract_z
_atom_site_occupancy
Ba1 0.000 0.168 0.000 1
Ac1 0.000 0.000 0.000 1
Cd1 0.000 0.420 0.500 1



(8)
# BaAc2Cd (PBE, relaxed)
# ΔE to the lowest computed polymorph = 124 meV/atom
# E_form = 12 kJ/mol of formula units
data_BaAc2Cd
_symmetry_space_group_name_H-M 'P 4/m m m'
_symmetry_Int_Tables_number 123
_symmetry_space_group_name_Hall '-P 4 2'
_cell_length_a 5.467
_cell_length_b 5.467
_cell_length_c 5.416
_cell_angle_alpha 90.00
_cell_angle_beta 90.00
_cell_angle_gamma 90.00
loop_
_atom_site_label
_atom_site_fract_x
_atom_site_fract_y
_atom_site_fract_z
_atom_site_occupancy
Ba1 0.000 0.000 0.000 1
Ac1 0.000 0.500 0.500 1
Cd1 0.500 0.500 0.000 1



no.,calculated total energy (eV/atom),D(E_F) (states/eV/cell)
1,-4.506,8.74
2,-2.699,15.25
3,-2.851,13.43
4,-2.934,12.90
5,-2.454,5.29
6,-2.011,4.98
7,-2.190,8.84
8,-2.733,5.26